# 1
A relaxed structure of RbTb2O. Source: Alexandria via LeMat-Bulk, functional PBE.

The structure in POSCAR format:
```
RbTb2O
1.0
3.6081 0.0000 0.0000
-1.8040 3.1247 0.0000
0.0000 0.0000 30.6084
Rb Tb O
3 6 3
Direct
0.0000 0.0000 0.0000
0.3333 0.6667 0.6667
0.6667 0.3333 0.3333
0.0000 0.0000 0.1241
0.0000 0.0000 0.8759
0.3333 0.6667 0.5425
0.3333 0.6667 0.7908
0.6667 0.3333 0.2092
0.6667 0.3333 0.4575
0.0000 0.0000 0.5000
0.3333 0.6667 0.1667
0.6667 0.3333 0.8333
```

Computed properties:
Raw formation energy ... -1.025 eV per atom
Total DFT energy (no corrections) ... -57.86 eV/cell
Size of the total moment ... 0.00 μB/f.u.
Crystal system ... trigonal

# 2
A relaxed structure of CoCu2Pt. Source: Alexandria via LeMat-Bulk, functional PBE.

The structure in POSCAR format:
```
CoCu2Pt
1.0
8.6958 0.0000 0.0000
0.0000 2.6613 0.0000
-0.8129 0.0000 4.4219
Co Cu Pt
2 4 2
Direct
0.0000 0.0000 0.0000
0.5000 0.5000 0.0000
0.2471 0.5000 0.2405
0.2529 0.0000 0.7595
0.7471 0.0000 0.2405
0.7529 0.5000 0.7595
0.0000 0.5000 0.5000
0.5000 0.0000 0.5000
```

Computed properties:
Total DFT energy (no corrections) ... -42.81 eV/cell
Size of the total moment ... 1.66 μB/f.u.
Crystal system ... monoclinic
Formation enthalpy at 0 K ... -0.017 eV per atom

# 3
A relaxed structure of LiBe3Ir. Source: Alexandria via LeMat-Bulk, functional PBE.

The structure in POSCAR format:
```
LiBe3Ir
1.0
3.6914 0.0000 0.0000
0.0000 3.6914 0.0000
0.0000 0.0000 3.6914
Li Be Ir
1 3 1
Direct
0.0000 0.0000 0.0000
0.0000 0.0000 0.5000
0.0000 0.5000 0.0000
0.5000 0.0000 0.0000
0.5000 0.5000 0.5000
```

Computed properties:
Total DFT energy (no corrections) ... -18.30 eV/cell
Size of the total moment ... 0.00 μB/f.u.
Crystal system ... cubic
Offset from the most stable computed form ... 619 meV/atom
Formation enthalpy at 0 K ... 0.731 eV per atom

# 4
A relaxed structure of MgTl2Cd4. Source: Alexandria via LeMat-Bulk, functional PBE.

The structure in POSCAR format:
```
MgTl2Cd4
1.0
3.3638 0.0000 0.0000
0.0000 30.1309 0.0000
0.0000 0.0000 3.4914
Mg Tl Cd
2 4 8
Direct
0.0000 0.0000 0.0000
0.5000 0.5000 0.0000
0.0000 0.3006 0.5000
0.0000 0.6994 0.5000
0.5000 0.1994 0.5000
0.5000 0.8006 0.5000
0.0000 0.1242 0.0000
0.0000 0.4390 0.5000
0.0000 0.5610 0.5000
0.0000 0.8758 0.0000
0.5000 0.0610 0.5000
0.5000 0.3758 0.0000
0.5000 0.6242 0.0000
0.5000 0.9390 0.5000
```

Computed properties:
Total DFT energy (no corrections) ... -19.98 eV/cell
Size of the total moment ... 0.00 μB/f.u.
Crystal system ... orthorhombic
Formation enthalpy at 0 K ... -0.001 eV per atom

# 5
A relaxed structure of Ba2ErMg2Bi4. Source: Alexandria via LeMat-Bulk, functional PBE.

The structure in POSCAR format:
```
Ba2ErMg2Bi4
1.0
8.5262 -2.4343 0.0000
8.5262 2.4343 0.0000
-2.5874 0.0000 7.4986
Ba Er Mg Bi
2 1 2 4
Direct
0.1352 0.1352 0.0901
0.8648 0.8648 0.9099
0.0000 0.0000 0.5000
0.3309 0.3309 0.5117
0.6691 0.6691 0.4883
0.2016 0.2016 0.7048
0.4989 0.4989 0.2342
0.5011 0.5011 0.7658
0.7984 0.7984 0.2952
```

Computed properties:
Total DFT energy (no corrections) ... -33.49 eV/cell
Size of the total moment ... 0.00 μB/f.u.
Crystal system ... monoclinic
Formation enthalpy at 0 K ... -0.708 eV per atom

# 6
A relaxed structure of BeTeOsI2. Source: Alexandria via LeMat-Bulk, functional PBE.

The structure in POSCAR format:
```
BeTeOsI2
1.0
5.6218 0.0000 0.0000
0.0000 5.6218 0.0000
0.0000 0.0000 4.9905
Be Te Os I
1 1 1 2
Direct
0.0000 0.0000 0.0000
0.5000 0.5000 0.0000
0.5000 0.5000 0.5000
0.0000 0.5000 0.5000
0.5000 0.0000 0.5000
```

Computed properties:
Raw formation energy ... 1.099 eV per atom
Total DFT energy (no corrections) ... -15.70 eV/cell
Size of the total moment ... 0.00 μB/f.u.
Crystal system ... tetragonal
Offset from the most stable computed form ... 0 meV/atom

# 7
A relaxed structure of SiBi. Source: Alexandria via LeMat-Bulk, functional PBE.

The structure in POSCAR format:
```
SiBi
1.0
6.6671 0.0000 0.0000
0.0000 3.8288 0.0000
-2.1708 0.0000 7.7435
Si Bi
4 4
Direct
0.1463 0.0000 0.4369
0.3537 0.5000 0.5631
0.6463 0.5000 0.4369
0.8537 0.0000 0.5631
0.1136 0.5000 0.8362
0.3864 0.0000 0.1638
0.6136 0.0000 0.8362
0.8864 0.5000 0.1638
```

Computed properties:
Raw formation energy ... 0.291 eV per atom
Total DFT energy (no corrections) ... -34.89 eV/cell
Size of the total moment ... 0.00 μB/f.u.
Crystal system ... monoclinic

# 8
A relaxed structure of Lu3FeBi. Source: Alexandria via LeMat-Bulk, functional PBE.

The structure in POSCAR format:
```
Lu3FeBi
1.0
5.0618 0.0000 0.0000
0.0000 5.0618 0.0000
0.0000 0.0000 5.0618
Lu Fe Bi
3 1 1
Direct
0.0000 0.0000 0.5000
0.0000 0.5000 0.0000
0.5000 0.0000 0.0000
0.0000 0.0000 0.0000
0.5000 0.5000 0.5000
```

Computed properties:
Total DFT energy (no corrections) ... -26.73 eV/cell
Size of the total moment ... 0.03 μB/f.u.
Crystal system ... cubic
Formation enthalpy at 0 K ... -0.164 eV per atom

# 9
A relaxed structure of LiNiPd4. Source: Alexandria via LeMat-Bulk, functional PBE.

The structure in POSCAR format:
```
LiNiPd4
1.0
3.5204 -5.6047 0.0000
3.5204 5.6047 0.0000
-1.5816 0.0000 4.5264
Li Ni Pd
2 2 8
Direct
0.0998 0.9002 0.7500
0.9002 0.0998 0.2500
0.4990 0.5010 0.7500
0.5010 0.4990 0.2500
0.0997 0.3098 0.8641
0.2069 0.5890 0.4483
0.3098 0.0997 0.3641
0.4110 0.7931 0.0517
0.5890 0.2069 0.9483
0.6902 0.9003 0.6359
0.7931 0.4110 0.5517
0.9003 0.6902 0.1359
```

Computed properties:
Total DFT energy (no corrections) ... -57.54 eV/cell
Size of the total moment ... 1.65 μB/f.u.
Crystal system ... monoclinic
Offset from the most stable computed form ... 0 meV/atom
Formation enthalpy at 0 K ... -0.050 eV per atom

# 10
A relaxed structure of Ba2PF2. Source: Alexandria via LeMat-Bulk, functional PBE.

The structure in POSCAR format:
```
Ba2PF2
1.0
8.2331 0.0000 0.0000
0.0000 8.2331 0.0000
0.0000 0.0000 3.5499
Ba P F
4 2 4
Direct
0.1621 0.3379 0.0000
0.3379 0.8379 0.0000
0.6621 0.1621 0.0000
0.8379 0.6621 0.0000
0.0000 0.0000 0.0000
0.5000 0.5000 0.0000
0.1148 0.6148 0.5000
0.3852 0.1148 0.5000
0.6148 0.8852 0.5000
0.8852 0.3852 0.5000
```

Computed properties:
Raw formation energy ... -2.193 eV per atom
Total DFT energy (no corrections) ... -47.93 eV/cell
Size of the total moment ... 0.00 μB/f.u.
Crystal system ... tetragonal
Offset from the most stable computed form ... 341 meV/atom

# 11
A relaxed structure of Er3Mg2Cd7. Source: Alexandria via LeMat-Bulk, functional PBE.

The structure in POSCAR format:
```
Er3Mg2Cd7
1.0
4.9165 0.0000 0.0000
0.0000 3.7614 0.0000
-2.3800 0.0000 15.8991
Er Mg Cd
3 2 7
Direct
0.0000 0.0000 0.0000
0.3121 0.5000 0.6285
0.6879 0.5000 0.3715
0.1452 0.0000 0.2840
0.8548 0.0000 0.7160
0.0789 0.5000 0.1503
0.2288 0.0000 0.4561
0.4060 0.0000 0.8214
0.5000 0.5000 0.0000
0.5940 0.0000 0.1786
0.7712 0.0000 0.5439
0.9211 0.5000 0.8497
```

Computed properties:
Total DFT energy (no corrections) ... -24.89 eV/cell
Size of the total moment ... 0.00 μB/f.u.
Crystal system ... monoclinic
Offset from the most stable computed form ... 0 meV/atom
Formation enthalpy at 0 K ... -0.134 eV per atom